Computed, not measured: SbMo2Ir at its PBEsol-relaxed geometry at the SCAN level of DFT.

Values from the calculation:
**DOS(E_F)**: 7.56 states/eV per cell
**Calculated total energy**: -1.6305 hartree per atom

a b c (Å): 4.2062 2.8609 10.7744
angles (deg): 90.00 90.00 90.00
Closest atoms and distances in Å follow each position.
Space group Amm2 (No. 38)
Unique sites:
Sb: 0.0000 0.0000 0.0000 x2  2 Ir 2.62, 5 Mo 2.73-2.81, 2 Sb 2.86
Mo: 0.0000 0.0000 0.7467 x2  3 Sb 2.73-3.02, 4 Ir 2.77, 6 Mo 2.86-2.97
Mo: 0.5000 0.0000 0.3883 x2  1 Ir 2.61, 4 Sb 2.81, 2 Mo 2.86
Ir: 0.5000 0.0000 0.1456 x2  5 Mo 2.61-2.77, 2 Sb 2.62, 2 Ir 2.86